Compound: CeCo6Ge6
Source: Alexandria
Functional: PBE
Structure: optimized geometry

Computed properties:
The formation energy comes out at -0.31 eV per atom. The calculation puts the final energy at -80.3 eV for the cell shown.

abc: 5.1170 5.1170 7.9043
angles: 90.00 90.00 120.00
Last column: nearest neighbours and their distance in Å.
Space group P6/mmm (No. 191)
Inequivalent atoms, fractional coordinates:
Ce1 0.0000 0.0000 0.0000  8 Ge 2.74-2.95
Co1 0.0000 0.5000 0.2519  6 Ge 2.46-2.67, 4 Co 2.56
Ge1 0.0000 0.0000 0.3468  1 Ge 2.42, 6 Co 2.67
Ge2 0.3333 0.6667 0.0000  6 Co 2.48
Ge3 0.3333 0.6667 0.5000  6 Co 2.46